{
  "formula": "ZrBeW2",
  "functional": "PBE",
  "state": "optimized geometry",
  "sg": "F-43m",
  "cell": [[-4.291, -0.800, -1.087], [-3.264, 2.621, 1.646], [-2.197, 2.831, -2.718]],
  "species": ["Zr", "W", "W", "Be"],
  "frac_coords": [[0.250, 0.250, 0.250], [0.750, 0.750, 0.750], [0.000, 0.000, 0.000], [0.500, 0.500, 0.500]]
}

{
  "formula": "Er4AlPbC2",
  "functional": "PBE",
  "state": "optimized geometry",
  "sg": "P-6m2",
  "cell": [[3.568, 0.000, 0.000], [-1.784, 3.090, 0.000], [0.000, 0.000, 15.885]],
  "species": ["Pb", "Er", "Er", "Er", "Er", "C", "C", "Al"],
  "frac_coords": [[0.667, 0.333, 0.500], [0.667, 0.333, 0.160], [0.667, 0.333, 0.840], [0.000, 0.000, 0.672], [0.000, 0.000, 0.328], [0.333, 0.667, 0.752], [0.333, 0.667, 0.248], [0.000, 0.000, 0.000]]
}

{
  "formula": "CdFeSiIr",
  "functional": "PBE",
  "state": "optimized geometry",
  "de_polymorph_ev_per_fu": 0.00,
  "sg": "F-43m",
  "cell": [[0.000, 3.034, 3.034], [3.034, 0.000, 3.034], [3.034, 3.034, 0.000]],
  "species": ["Fe", "Ir", "Cd", "Si"],
  "frac_coords": [[0.750, 0.750, 0.750], [0.250, 0.250, 0.250], [0.500, 0.500, 0.500], [0.000, 0.000, 0.000]]
}

{
  "formula": "Dy2Er5Al",
  "functional": "PBE",
  "state": "optimized geometry",
  "sg": "Amm2",
  "cell": [[-0.178, -4.128, 3.572], [5.348, -3.080, -3.293], [6.575, 1.394, 1.938]],
  "species": ["Er", "Er", "Er", "Er", "Er", "Dy", "Dy", "Al"],
  "frac_coords": [[0.500, 0.159, 0.671], [0.500, 0.671, 0.159], [0.000, 0.840, 0.329], [0.000, 0.329, 0.840], [0.500, 0.166, 0.166], [0.000, 0.330, 0.330], [0.500, 0.671, 0.671], [0.000, 0.834, 0.834]]
}

{
  "formula": "NbCuSnIr",
  "functional": "PBE",
  "state": "optimized geometry",
  "de_polymorph_ev_per_fu": 0.00,
  "sg": "F-43m",
  "cell": [[0.000, 3.205, 3.205], [3.205, 0.000, 3.205], [3.205, 3.205, 0.000]],
  "species": ["Ir", "Sn", "Nb", "Cu"],
  "frac_coords": [[0.250, 0.250, 0.250], [0.000, 0.000, 0.000], [0.500, 0.500, 0.500], [0.750, 0.750, 0.750]]
}

{
  "formula": "LuFeBiPt",
  "functional": "PBE",
  "state": "optimized geometry",
  "de_polymorph_ev_per_fu": 0.00,
  "sg": "F-43m",
  "cell": [[4.106, -2.339, 0.799], [0.813, -2.023, 4.267], [-0.005, -4.773, 0.429]],
  "species": ["Bi", "Lu", "Fe", "Pt"],
  "frac_coords": [[0.000, 0.000, 0.000], [0.500, 0.500, 0.500], [0.750, 0.750, 0.750], [0.250, 0.250, 0.250]]
}

{
  "formula": "LiPuPt",
  "functional": "PBE",
  "state": "optimized geometry",
  "de_polymorph_ev_per_fu": 2.01,
  "sg": "F-43m",
  "cell": [[-3.258, -2.044, 2.567], [-0.750, -4.545, -0.406], [1.212, -2.859, 3.427]],
  "species": ["Li", "Pt", "Pu"],
  "frac_coords": [[0.750, 0.750, 0.750], [0.250, 0.250, 0.250], [0.000, 0.000, 0.000]]
}

{
  "formula": "CuBiSbF",
  "functional": "PBE",
  "state": "optimized geometry",
  "de_polymorph_ev_per_fu": 0.72,
  "sg": "P2_12_12_1",
  "cell": [[6.411, 0.000, 0.000], [0.000, 7.313, 0.000], [0.000, 0.000, 7.327]],
  "species": ["Cu", "Cu", "Cu", "Cu", "Sb", "Sb", "Sb", "Sb", "Bi", "Bi", "Bi", "Bi", "F", "F", "F", "F"],
  "frac_coords": [[0.326, 0.140, 0.907], [0.826, 0.860, 0.593], [0.674, 0.360, 0.407], [0.174, 0.640, 0.093], [0.128, 0.978, 0.158], [0.872, 0.522, 0.658], [0.628, 0.022, 0.342], [0.372, 0.478, 0.842], [0.267, 0.749, 0.508], [0.233, 0.249, 0.492], [0.733, 0.751, 0.008], [0.767, 0.251, 0.992], [0.892, 0.494, 0.189], [0.608, 0.994, 0.811], [0.392, 0.506, 0.311], [0.108, 0.006, 0.689]]
}

{
  "formula": "TbErNO",
  "functional": "PBE",
  "state": "optimized geometry",
  "de_polymorph_ev_per_fu": 0.09,
  "sg": "Pmma",
  "cell": [[-1.974, -3.420, 0.000], [0.000, 0.000, 4.861], [-5.948, 3.434, 0.000]],
  "species": ["Er", "Er", "O", "O", "N", "N", "Tb", "Tb"],
  "frac_coords": [[0.500, 0.938, 0.167], [0.500, 0.438, 0.833], [0.500, 0.939, 0.836], [0.500, 0.439, 0.164], [0.000, 0.439, 0.669], [0.000, 0.939, 0.331], [0.000, 0.438, 0.334], [0.000, 0.938, 0.666]]
}

{
  "formula": "InAu17",
  "functional": "PBE",
  "state": "optimized geometry",
  "de_polymorph_ev_per_fu": 0.18,
  "sg": "Pm",
  "cell": [[-5.705, -7.060, -4.222], [3.986, -4.042, 1.374], [-15.151, -5.011, 29.214]],
  "species": ["Au", "Au", "Au", "Au", "Au", "Au", "Au", "Au", "Au", "Au", "Au", "Au", "Au", "Au", "Au", "Au", "Au", "Au", "Au", "Au", "Au", "Au", "Au", "Au", "Au", "Au", "Au", "Au", "Au", "Au", "Au", "Au", "Au", "Au", "Au", "Au", "Au", "Au", "Au", "Au", "Au", "Au", "Au", "Au", "Au", "Au", "Au", "Au", "Au", "Au", "Au", "Au", "Au", "Au", "Au", "Au", "Au", "Au", "Au", "Au", "Au", "Au", "Au", "Au", "Au", "Au", "Au", "Au", "In", "In", "In", "In"],
  "frac_coords": [[0.249, 0.750, 0.646], [0.832, 0.000, 0.719], [0.833, 0.500, 0.719], [0.083, 0.249, 0.719], [0.833, 0.500, 0.500], [0.835, 0.000, 0.280], [0.417, 0.749, 0.795], [0.417, 0.750, 0.573], [0.917, 0.250, 0.573], [0.501, 0.500, 0.206], [0.499, 0.500, 0.427], [0.999, 0.000, 0.646], [0.667, 0.000, 0.573], [0.917, 0.251, 0.795], [0.082, 0.750, 0.280], [0.750, 0.250, 0.205], [0.667, 0.500, 0.795], [0.916, 0.750, 0.354], [0.583, 0.751, 0.720], [0.750, 0.750, 0.205], [0.666, 0.500, 0.354], [0.833, 0.000, 0.500], [0.499, 0.000, 0.427], [0.250, 0.250, 0.427], [0.584, 0.250, 0.280], [0.583, 0.250, 0.500], [0.250, 0.750, 0.427], [0.916, 0.250, 0.354], [0.082, 0.250, 0.280], [0.749, 0.250, 0.427], [0.584, 0.750, 0.280], [0.999, 0.500, 0.646], [0.083, 0.750, 0.500], [0.333, 0.500, 0.500], [0.000, 0.000, 0.427], [0.253, 0.250, 0.205], [0.167, 0.500, 0.795], [0.501, 0.000, 0.206], [0.167, 0.000, 0.573], [0.417, 0.250, 0.573], [0.416, 0.750, 0.353], [0.416, 0.250, 0.353], [0.835, 0.500, 0.281], [0.333, 0.000, 0.500], [0.167, 0.500, 0.573], [0.749, 0.250, 0.646], [0.583, 0.249, 0.720], [0.499, 0.500, 0.646], [0.166, 0.500, 0.354], [0.332, 0.500, 0.281], [0.000, 0.500, 0.427], [0.332, 0.000, 0.281], [0.917, 0.749, 0.795], [0.253, 0.750, 0.205], [0.749, 0.750, 0.646], [0.666, 0.000, 0.353], [0.417, 0.251, 0.795], [0.917, 0.750, 0.573], [0.166, 0.000, 0.354], [0.583, 0.750, 0.500], [0.083, 0.250, 0.500], [0.249, 0.250, 0.646], [0.749, 0.750, 0.427], [0.499, 0.000, 0.646], [0.667, 0.500, 0.573], [0.083, 0.751, 0.719], [0.333, 0.500, 0.719], [0.332, 0.000, 0.719], [0.002, 0.000, 0.199], [0.167, 0.000, 0.801], [0.002, 0.500, 0.201], [0.668, 0.000, 0.801]]
}

{
  "formula": "K6NaAu2IO8",
  "functional": "PBE",
  "state": "optimized geometry",
  "sg": "P2/c",
  "cell": [[7.058, 0.000, -0.015], [0.000, 9.694, 0.000], [-6.522, 0.000, 10.062]],
  "species": ["K", "K", "K", "K", "K", "K", "K", "K", "K", "K", "K", "K", "O", "O", "O", "O", "O", "O", "O", "O", "O", "O", "O", "O", "O", "O", "O", "O", "Au", "Au", "Au", "Au", "Na", "Na", "I", "I"],
  "frac_coords": [[0.500, 0.841, 0.250], [0.988, 0.337, 0.087], [0.988, 0.663, 0.587], [0.531, 0.820, 0.916], [0.531, 0.180, 0.416], [0.000, 0.351, 0.750], [0.012, 0.337, 0.413], [0.469, 0.180, 0.084], [0.500, 0.159, 0.750], [0.000, 0.649, 0.250], [0.469, 0.820, 0.584], [0.012, 0.663, 0.913], [0.259, 0.574, 0.513], [0.221, 0.947, 0.692], [0.714, 0.418, 0.168], [0.286, 0.418, 0.332], [0.499, 0.664, 0.408], [0.779, 0.947, 0.808], [0.286, 0.582, 0.832], [0.259, 0.426, 0.013], [0.501, 0.664, 0.092], [0.499, 0.336, 0.908], [0.501, 0.336, 0.592], [0.779, 0.053, 0.308], [0.714, 0.582, 0.668], [0.741, 0.574, 0.987], [0.221, 0.053, 0.192], [0.741, 0.426, 0.487], [0.000, 0.000, 0.500], [0.000, 0.000, 0.000], [0.000, 0.042, 0.250], [0.000, 0.958, 0.750], [0.500, 0.494, 0.750], [0.500, 0.506, 0.250], [0.500, 0.500, 0.500], [0.500, 0.500, 0.000]]
}

{
  "formula": "ErNpGa",
  "functional": "PBE",
  "state": "optimized geometry",
  "sg": "F-43m",
  "cell": [[0.000, 3.425, 3.425], [3.425, 0.000, 3.425], [3.425, 3.425, 0.000]],
  "species": ["Ga", "Np", "Er"],
  "frac_coords": [[0.000, 0.000, 0.000], [0.750, 0.750, 0.750], [0.250, 0.250, 0.250]]
}

{
  "formula": "AgB2S",
  "functional": "PBE",
  "state": "optimized geometry",
  "sg": "C2",
  "cell": [[-2.400, 2.203, -3.186], [-3.755, -2.351, -1.064], [-0.008, 2.714, 5.820]],
  "species": ["Ag", "Ag", "B", "B", "B", "B", "S", "S"],
  "frac_coords": [[0.609, 0.728, 0.398], [0.272, 0.391, 0.602], [0.038, 0.894, 0.355], [0.106, 0.962, 0.645], [0.245, 0.926, 0.942], [0.074, 0.755, 0.058], [0.926, 0.332, 0.885], [0.668, 0.074, 0.115]]
}

{
  "formula": "LuSnPO",
  "functional": "PBE",
  "state": "optimized geometry",
  "de_polymorph_ev_per_fu": 1.38,
  "sg": "P4/nmm",
  "cell": [[-2.952, 3.889, 2.120], [0.579, -2.188, 4.819], [4.321, 2.856, 0.778]],
  "species": ["P", "P", "Sn", "Sn", "Lu", "Lu", "O", "O"],
  "frac_coords": [[0.000, 0.500, 0.504], [0.500, 0.000, 0.496], [0.500, 0.000, 0.996], [0.000, 0.500, 0.004], [0.500, 0.500, 0.500], [0.000, 0.000, 0.500], [0.000, 0.000, 0.000], [0.500, 0.500, 0.000]]
}

{
  "formula": "Ba2IrAu",
  "functional": "PBE",
  "state": "optimized geometry",
  "de_polymorph_ev_per_fu": 0.48,
  "sg": "Pmn2_1",
  "cell": [[4.619, 0.000, 0.000], [0.000, 8.537, 0.000], [0.000, 0.000, 6.341]],
  "species": ["Ba", "Ba", "Ba", "Ba", "Ir", "Ir", "Au", "Au"],
  "frac_coords": [[0.000, 0.580, 0.375], [0.000, 0.058, 0.124], [0.500, 0.420, 0.875], [0.500, 0.942, 0.624], [0.000, 0.220, 0.619], [0.500, 0.780, 0.119], [0.500, 0.286, 0.382], [0.000, 0.714, 0.882]]
}

{
  "formula": "SmF3",
  "functional": "PBE",
  "state": "optimized geometry",
  "sg": "R-3c",
  "cell": [[2.592, 1.497, 5.028], [-2.592, 1.497, 5.028], [0.000, -2.993, 5.028]],
  "species": ["F", "F", "F", "F", "F", "F", "Sm", "Sm"],
  "frac_coords": [[0.052, 0.750, 0.448], [0.948, 0.250, 0.552], [0.448, 0.052, 0.750], [0.750, 0.448, 0.052], [0.552, 0.948, 0.250], [0.250, 0.552, 0.948], [0.500, 0.500, 0.500], [0.000, 0.000, 0.000]]
}

{
  "formula": "Nd2H16S3O20",
  "functional": "PBE",
  "state": "optimized geometry",
  "sg": "C2/c",
  "cell": [[-6.474, -3.266, 1.594], [-2.984, -5.704, -3.699], [11.040, -8.455, 11.175]],
  "species": ["O", "O", "O", "O", "O", "O", "O", "O", "O", "O", "O", "O", "O", "O", "O", "O", "O", "O", "O", "O", "O", "O", "O", "O", "O", "O", "O", "O", "O", "O", "O", "O", "O", "O", "O", "O", "O", "O", "O", "O", "H", "H", "H", "H", "H", "H", "H", "H", "H", "H", "H", "H", "H", "H", "H", "H", "H", "H", "H", "H", "H", "H", "H", "H", "H", "H", "H", "H", "H", "H", "H", "H", "S", "S", "S", "S", "S", "S", "Nd", "Nd", "Nd", "Nd"],
  "frac_coords": [[0.841, 0.869, 0.459], [0.028, 0.377, 0.896], [0.233, 0.235, 0.702], [0.869, 0.841, 0.959], [0.807, 0.373, 0.285], [0.131, 0.159, 0.041], [0.293, 0.790, 0.939], [0.468, 0.272, 0.481], [0.728, 0.532, 0.019], [0.377, 0.305, 0.344], [0.327, 0.645, 0.147], [0.645, 0.327, 0.647], [0.063, 0.995, 0.689], [0.623, 0.695, 0.656], [0.355, 0.673, 0.353], [0.790, 0.293, 0.439], [0.583, 0.906, 0.073], [0.695, 0.623, 0.156], [0.094, 0.417, 0.427], [0.159, 0.131, 0.541], [0.707, 0.210, 0.061], [0.005, 0.937, 0.811], [0.995, 0.063, 0.189], [0.417, 0.094, 0.927], [0.972, 0.623, 0.104], [0.937, 0.005, 0.311], [0.235, 0.233, 0.202], [0.623, 0.972, 0.604], [0.210, 0.707, 0.561], [0.673, 0.355, 0.853], [0.765, 0.767, 0.798], [0.532, 0.728, 0.519], [0.305, 0.377, 0.844], [0.193, 0.627, 0.715], [0.627, 0.193, 0.215], [0.377, 0.028, 0.396], [0.906, 0.583, 0.573], [0.373, 0.807, 0.785], [0.767, 0.765, 0.298], [0.272, 0.468, 0.981], [0.169, 0.844, 0.896], [0.815, 0.866, 0.302], [0.727, 0.011, 0.486], [0.246, 0.291, 0.757], [0.199, 0.020, 0.005], [0.020, 0.199, 0.505], [0.302, 0.668, 0.958], [0.011, 0.727, 0.986], [0.754, 0.709, 0.243], [0.709, 0.754, 0.743], [0.207, 0.804, 0.337], [0.273, 0.989, 0.514], [0.332, 0.698, 0.542], [0.654, 0.458, 0.655], [0.196, 0.793, 0.163], [0.866, 0.815, 0.802], [0.542, 0.346, 0.845], [0.804, 0.207, 0.837], [0.989, 0.273, 0.014], [0.156, 0.831, 0.604], [0.346, 0.542, 0.345], [0.668, 0.302, 0.458], [0.801, 0.980, 0.995], [0.698, 0.332, 0.042], [0.831, 0.156, 0.104], [0.980, 0.801, 0.495], [0.291, 0.246, 0.257], [0.793, 0.196, 0.663], [0.185, 0.134, 0.698], [0.458, 0.654, 0.155], [0.844, 0.169, 0.396], [0.134, 0.185, 0.198], [0.326, 0.254, 0.410], [0.840, 0.160, 0.250], [0.160, 0.840, 0.750], [0.674, 0.746, 0.590], [0.254, 0.326, 0.910], [0.746, 0.674, 0.090], [0.644, 0.699, 0.895], [0.699, 0.644, 0.395], [0.301, 0.356, 0.605], [0.356, 0.301, 0.105]]
}

Energy (eV/atom)
-9.36, -5.92, -5.72, -4.51, -6.77, -5.99, -7.36, -3.88, -7.84, -3.21, -4.22, -6.53, -4.75, -5.85, -4.30, -6.47, -5.76